Computed, not measured: LiScBeHg after structural relaxation at the PBE level of DFT.

POSCAR file:
```
LiScBeHg
1.0
4.4379 0.0000 0.0000
2.2189 3.8433 0.0000
2.2189 1.2811 3.6235
Be Hg Sc Li
1 1 1 1
Cartesian
4.4379 2.5622 1.8118
6.6568 3.8433 2.7176
2.2189 1.2811 0.9059
0.0000 0.0000 0.0000
```

magnetic moment	0.0	μB/cell
VASP energy	-3.23	eV per atom
N(E_F)	1.0	states/eV/f.u.

Computed, not measured: TiV3C after structural relaxation at the PBE level of DFT.

POSCAR file:
```
TiV3C
1.0
4.3040 0.0000 0.0000
0.0000 4.3040 0.0000
0.0000 0.0000 4.3040
V C Ti
3 1 1
Cartesian
0.0000 0.0000 2.1520
2.1520 0.0000 0.0000
0.0000 2.1520 0.0000
2.1520 2.1520 2.1520
0.0000 0.0000 0.0000
```

energy relative to the lowest polymorph listed for this composition	2656.2	meV per atom
magnetic moment	0.0	μB/cell
N(E_F)	7.4	states/eV/f.u.

Computed, not measured: SiTc2Ni after structural relaxation at the PBE level of DFT.

POSCAR file:
```
SiTc2Ni
1.0
8.3533 0.0015 0.0009
7.9032 2.7049 0.0009
7.9032 1.3157 2.3633
Tc Ni Si
2 1 1
Cartesian
12.0472 2.0056 1.1793
0.0327 0.0054 0.0032
6.0399 1.0055 0.5913
18.1198 3.0165 1.7738
```

magnetic moment	0.0	μB/cell
N(E_F)	4.7	states/eV/f.u.
formation energy (no corrections)	-7.8	meV/atom

Computed, not measured: NdSmY2Tm5 after structural relaxation at the PBE level of DFT.

POSCAR file:
```
NdSmY2Tm5
1.0
-2.3110 4.2788 -7.2572
-8.4015 -1.7284 1.6564
4.8187 5.1084 6.7353
Sm Y Nd Tm
2 4 2 10
Cartesian
-5.6250 4.4670 -0.8330
-0.2688 3.1918 1.9674
-2.4027 2.4363 -4.2807
-8.3097 0.1141 -1.3201
-7.2208 2.7152 -5.3912
-3.4916 -0.1648 -0.2096
-1.4243 5.3312 -1.6612
-4.4695 2.3276 2.7956
-6.5449 1.3905 0.7460
-3.3426 5.0208 1.8666
-4.4591 4.6225 -4.2124
-2.5512 2.6380 -0.7321
0.0000 0.0000 0.0000
0.6512 6.2682 0.3885
-8.4529 3.3751 -2.7342
-5.3562 1.2752 -2.8004
-1.4346 3.0362 5.3469
2.5591 4.2836 3.8687
```

magnetic moment	0.0	μB/cell
VASP energy	-4.68	eV per atom
N(E_F)	10.5	states/eV/f.u.

Computed, not measured: BaCoHg2 after structural relaxation at the PBE level of DFT.

POSCAR file:
```
BaCoHg2
1.0
-5.4856 0.4101 0.0948
0.0273 -0.8901 5.4292
-2.0704 8.2500 4.1506
Hg Ba Co
4 2 2
Cartesian
-6.3337 5.9244 6.9894
-2.9756 2.1353 1.7589
-3.5949 5.8506 6.1416
-2.1533 1.6297 4.4595
-5.1426 4.2100 3.5038
0.0000 0.0000 0.0000
-2.7292 -0.2400 2.7620
-2.3861 3.5599 6.1709
```

magnetic moment	2.1	μB/cell
VASP energy	-2.24	eV per atom
N(E_F)	3.0	states/eV/f.u.

Computed, not measured: ThMnSi2Ru after structural relaxation at the PBE level of DFT.

POSCAR file:
```
ThMnSi2Ru
1.0
4.0860 0.0000 0.0000
0.0000 4.0860 0.0000
-2.0430 -2.0430 5.1200
Ru Th Mn Si
1 1 1 2
Cartesian
2.0430 0.0000 2.5600
0.0000 0.0000 0.0000
0.0000 2.0430 2.5600
0.0000 0.0000 3.8609
2.0430 2.0430 1.2591
```

magnetic moment	2.6	μB/cell
N(E_F)	3.7	states/eV/f.u.
formation energy (no corrections)	-753.6	meV/atom

Computed, not measured: SiTeRuI2 after structural relaxation at the PBE level of DFT.

POSCAR file:
```
SiTeRuI2
1.0
5.4599 0.0000 0.0000
0.0000 5.4599 0.0000
0.0000 0.0000 5.3898
I Ru Te Si
2 1 1 1
Cartesian
0.0000 2.7300 0.0000
2.7300 0.0000 0.0000
2.7300 2.7300 2.6949
0.0000 0.0000 2.6949
0.0000 0.0000 0.0000
```

energy relative to the lowest polymorph listed for this composition	341.3	meV per atom
magnetic moment	3.5	μB/cell
N(E_F)	4.7	states/eV/f.u.
formation energy (no corrections)	1103.5	meV/atom

Computed, not measured: Li3Cl4 after structural relaxation at the PBE level of DFT.

POSCAR file:
```
Li3Cl4
1.0
-1.7609 1.7609 11.9933
1.7609 -1.7609 11.9933
1.7609 1.7609 -11.9933
Cl Li
4 3
Cartesian
0.0000 0.0000 13.2862
0.0000 0.0000 19.3687
0.0000 0.0000 10.7004
0.0000 0.0000 4.6178
0.0000 0.0000 7.1145
0.0000 0.0000 0.0000
0.0000 0.0000 16.8720
```

energy relative to the lowest polymorph listed for this composition	0.0	meV per atom
magnetic moment	1.0	μB/cell
formation energy (no corrections)	-1379.0	meV/atom

Computed, not measured: Hf2ScSeI after structural relaxation at the PBE level of DFT.

POSCAR file:
```
Hf2ScSeI
1.0
-0.4309 -5.0753 1.1238
3.7719 0.4776 3.6032
-3.5937 1.1056 3.6153
I Se Hf Sc
1 1 2 1
Cartesian
0.0000 0.0000 0.0000
-0.1263 -1.7460 4.1712
-1.7968 0.5528 1.8077
-0.2154 -2.5377 0.5619
1.8859 0.2388 1.8016
```

magnetic moment	0.0	μB/cell
N(E_F)	7.7	states/eV/f.u.
formation energy (no corrections)	1017.0	meV/atom

Computed, not measured: Ca2TbPm after structural relaxation at the PBE level of DFT.

POSCAR file:
```
Ca2TbPm
1.0
-2.7653 2.3897 0.7241
-3.3904 -0.5854 -1.4299
-5.1157 -5.9592 9.7155
Ca Pm Tb
2 1 1
Cartesian
-6.4075 -3.7302 7.0116
-7.6423 -1.3792 4.1228
-2.7478 -0.8887 2.0249
-6.1640 1.7865 -0.6787
```

energy relative to the lowest polymorph listed for this composition	0.0	meV per atom
magnetic moment	0.0	μB/cell
N(E_F)	5.8	states/eV/f.u.

Computed, not measured: KRh2Se after structural relaxation at the PBE level of DFT.

POSCAR file:
```
KRh2Se
1.0
-2.7099 -3.8086 3.3536
1.8428 -5.4365 -0.3800
1.0486 5.4862 1.3777
Se Rh K
1 2 1
Cartesian
-1.0474 -1.4725 3.1091
-0.8246 -8.7918 2.8278
-0.4761 -5.0759 1.6326
1.2290 -2.2864 1.2422
```

magnetic moment	1.0	μB/cell
N(E_F)	5.8	states/eV/f.u.
formation energy (no corrections)	305.4	meV/atom

Computed, not measured: ZnTc after structural relaxation at the PBE level of DFT.

POSCAR file:
```
ZnTc
1.0
2.1143 -3.6621 0.0000
2.1143 3.6621 0.0000
0.0000 0.0000 8.3498
Zn Tc
4 4
Cartesian
2.1143 -1.2207 4.8009
2.1143 1.2207 3.5490
2.1143 -1.2207 7.7239
2.1143 1.2207 0.6259
2.1143 -1.2207 2.0875
0.0000 0.0000 2.0875
0.0000 0.0000 6.2624
2.1143 1.2207 6.2624
```

energy relative to the lowest polymorph listed for this composition	365.4	meV per atom
magnetic moment	0.0	μB/cell
N(E_F)	1.6	states/eV/f.u.

Copy entry 12 word for word.
Computed, not measured: ZnTc after structural relaxation at the PBE level of DFT.

POSCAR file:
```
ZnTc
1.0
2.1143 -3.6621 0.0000
2.1143 3.6621 0.0000
0.0000 0.0000 8.3498
Zn Tc
4 4
Cartesian
2.1143 -1.2207 4.8009
2.1143 1.2207 3.5490
2.1143 -1.2207 7.7239
2.1143 1.2207 0.6259
2.1143 -1.2207 2.0875
0.0000 0.0000 2.0875
0.0000 0.0000 6.2624
2.1143 1.2207 6.2624
```

energy relative to the lowest polymorph listed for this composition	365.4	meV per atom
magnetic moment	0.0	μB/cell
N(E_F)	1.6	states/eV/f.u.